1.
Tb3Pm3Tl | PBE-GGA | relaxed

Properties
- Fermi-level density of states (states/eV/cell) = 18.83
- raw total energy (eV/atom) = -4.4283
- energy of formation (eV per formula unit) = -0.5

Cell and atoms, written as CIF:
```
data_Tb3Pm3Tl
_chemical_formula_sum 'Tb6 Pm6 Tl2'
_cell_length_a 9.5176
_cell_length_b 9.5176
_cell_length_c 5.6351
_cell_angle_alpha 90.00
_cell_angle_beta 90.00
_cell_angle_gamma 120.00
_space_group_name_H-M_alt 'P 63/m'
_space_group_IT_number 176
_space_group_name_Hall '-P 6c'
loop_
_atom_site_label
_atom_site_type_symbol
_atom_site_fract_x
_atom_site_fract_y
_atom_site_fract_z
Tb1 Tb 0.0612 0.8225 0.2500
Pm1 Pm 0.1073 0.6307 0.7500
Tl1 Tl 0.3333 0.6667 0.2500
```

---

2.
AlZn3 | PBE-GGA | relaxed

Properties
- Fermi-level density of states (states/eV/cell) = 2.43
- raw total energy (eV/atom) = -1.8400
- energy of formation (eV per formula unit) = 0.2

Cell and atoms, written as CIF:
```
data_AlZn3
_chemical_formula_sum 'Al2 Zn6'
_cell_length_a 2.8448
_cell_length_b 9.5254
_cell_length_c 4.6348
_cell_angle_alpha 90.00
_cell_angle_beta 90.00
_cell_angle_gamma 90.00
_space_group_name_H-M_alt 'I m m 2'
_space_group_IT_number 44
_space_group_name_Hall 'I 2 -2'
loop_
_atom_site_label
_atom_site_type_symbol
_atom_site_fract_x
_atom_site_fract_y
_atom_site_fract_z
Al1 Al 0.0000 0.0000 0.0000
Zn1 Zn 0.0000 0.2511 0.6831
Zn2 Zn 0.0000 0.5000 0.0006
```

---

3.
Sc5Al4Pd | PBE-GGA | relaxed

Properties
- Fermi-level density of states (states/eV/cell) = 5.22
- raw total energy (eV/atom) = -5.7234
- energy of formation (eV per formula unit) = -5.4

Cell and atoms, written as CIF:
```
data_Sc5Al4Pd
_chemical_formula_sum 'Sc5 Al4 Pd1'
_cell_length_a 3.3839
_cell_length_b 3.3839
_cell_length_c 16.6527
_cell_angle_alpha 90.00
_cell_angle_beta 90.00
_cell_angle_gamma 90.00
_space_group_name_H-M_alt 'P 4/m m m'
_space_group_IT_number 123
_space_group_name_Hall '-P 4 2'
loop_
_atom_site_label
_atom_site_type_symbol
_atom_site_fract_x
_atom_site_fract_y
_atom_site_fract_z
Sc1 Sc 0.0000 0.0000 0.0000
Sc2 Sc 0.0000 0.0000 0.2018
Sc3 Sc 0.0000 0.0000 0.4048
Al1 Al 0.5000 0.5000 0.1008
Al2 Al 0.5000 0.5000 0.3028
Pd1 Pd 0.5000 0.5000 0.5000
```

---

4.
Ba3SmW2N6 | PBE-GGA | relaxed

Properties
- Fermi-level density of states (states/eV/cell) = 3.79
- energy relative to the elements, uncorrected (eV/atom) = -0.828
- raw total energy (eV/atom) = -8.0232

Cell and atoms, written as CIF:
```
data_Ba3SmW2N6
_chemical_formula_sum 'Ba3 Sm1 W2 N6'
_cell_length_a 6.3167
_cell_length_b 6.3167
_cell_length_c 7.4906
_cell_angle_alpha 90.00
_cell_angle_beta 90.00
_cell_angle_gamma 120.00
_space_group_name_H-M_alt 'P -3 m 1'
_space_group_IT_number 164
_space_group_name_Hall '-P 3 2"'
loop_
_atom_site_label
_atom_site_type_symbol
_atom_site_fract_x
_atom_site_fract_y
_atom_site_fract_z
Ba1 Ba 0.0000 0.0000 0.0000
Ba2 Ba 0.3333 0.6667 0.6846
Sm1 Sm 0.0000 0.0000 0.5000
W1 W 0.3333 0.6667 0.2205
N1 N 0.1727 0.3453 0.2938
```

---

5.
NdGaHg | PBE-GGA | relaxed

Properties
- Fermi-level density of states (states/eV/cell) = 1.60
- raw total energy (eV/atom) = -3.2208
- excess energy over the best structure of this formula in the dataset (eV per atom) = 0.009
- energy of formation (eV per formula unit) = -1.6

Cell and atoms, written as CIF:
```
data_NdGaHg
_chemical_formula_sum 'Nd1 Ga1 Hg1'
_cell_length_a 4.7318
_cell_length_b 4.7318
_cell_length_c 3.7406
_cell_angle_alpha 90.00
_cell_angle_beta 90.00
_cell_angle_gamma 120.00
_space_group_name_H-M_alt 'P 3 m 1'
_space_group_IT_number 156
_space_group_name_Hall 'P 3 -2"'
loop_
_atom_site_label
_atom_site_type_symbol
_atom_site_fract_x
_atom_site_fract_y
_atom_site_fract_z
Nd1 Nd 0.0000 0.0000 0.0000
Ga1 Ga 0.6667 0.3333 0.4973
Hg1 Hg 0.3333 0.6667 0.5004
```

---

6.
Te2HPtN | PBE-GGA | relaxed

Properties
- Fermi-level density of states (states/eV/cell) = 3.64
- raw total energy (eV/atom) = -3.8406
- excess energy over the best structure of this formula in the dataset (eV per atom) = 0.074

Cell and atoms, written as CIF:
```
data_Te2HPtN
_chemical_formula_sum 'Te2 H1 Pt1 N1'
_cell_length_a 5.6761
_cell_length_b 5.6761
_cell_length_c 3.6370
_cell_angle_alpha 90.00
_cell_angle_beta 90.00
_cell_angle_gamma 90.00
_space_group_name_H-M_alt 'P 4/m m m'
_space_group_IT_number 123
_space_group_name_Hall '-P 4 2'
loop_
_atom_site_label
_atom_site_type_symbol
_atom_site_fract_x
_atom_site_fract_y
_atom_site_fract_z
Te1 Te 0.0000 0.5000 0.0000
H1 H 0.0000 0.0000 0.5000
Pt1 Pt 0.5000 0.5000 0.0000
N1 N 0.5000 0.5000 0.5000
```

---

7.
AgRu7 | PBE-GGA | relaxed

Properties
- Fermi-level density of states (states/eV/cell) = 45.67
- raw total energy (eV/atom) = -8.0877
- energy of formation (eV per formula unit) = 3.1

Cell and atoms, written as CIF:
```
data_AgRu7
_chemical_formula_sum 'Ag4 Ru28'
_cell_length_a 7.7085
_cell_length_b 7.7085
_cell_length_c 7.7085
_cell_angle_alpha 90.00
_cell_angle_beta 90.00
_cell_angle_gamma 90.00
_space_group_name_H-M_alt 'F m -3 m'
_space_group_IT_number 225
_space_group_name_Hall '-F 4 2 3'
loop_
_atom_site_label
_atom_site_type_symbol
_atom_site_fract_x
_atom_site_fract_y
_atom_site_fract_z
Ag1 Ag 0.0000 0.0000 0.0000
Ru1 Ru 0.0000 0.0000 0.5000
Ru2 Ru 0.0000 0.2500 0.2500
```

---

8.
Li12Al2Cd | PBE-GGA | relaxed

Properties
- Fermi-level density of states (states/eV/cell) = 14.95
- raw total energy (eV/atom) = -2.1281
- energy of formation (eV per formula unit) = -0.6

Cell and atoms, written as CIF:
```
data_Li12Al2Cd
_chemical_formula_sum 'Li48 Al8 Cd4'
_cell_length_a 5.4327
_cell_length_b 9.2850
_cell_length_c 21.7396
_cell_angle_alpha 90.00
_cell_angle_beta 90.00
_cell_angle_gamma 90.00
_space_group_name_H-M_alt 'C m m e'
_space_group_IT_number 67
_space_group_name_Hall '-C 2a 2'
loop_
_atom_site_label
_atom_site_type_symbol
_atom_site_fract_x
_atom_site_fract_y
_atom_site_fract_z
Li1 Li 0.0000 0.0526 0.0675
Li2 Li 0.0000 0.0862 0.5441
Li3 Li 0.2249 0.2500 0.3811
Li4 Li 0.2394 0.2500 0.8515
Li5 Li 0.2500 0.0000 0.2066
Li6 Li 0.2500 0.0000 0.3250
Al1 Al 0.0000 0.2500 0.2620
Al2 Al 0.0000 0.2500 0.7299
Cd1 Cd 0.0000 0.2500 0.9657
```

---

9.
Ac3SiPd6Au2 | PBE-GGA | relaxed

Properties
- Fermi-level density of states (states/eV/cell) = 5.03
- energy relative to the elements, uncorrected (eV/atom) = -0.762
- raw total energy (eV/atom) = -5.3840

Cell and atoms, written as CIF:
```
data_Ac3SiPd6Au2
_chemical_formula_sum 'Ac3 Si1 Pd6 Au2'
_cell_length_a 5.9259
_cell_length_b 5.9259
_cell_length_c 8.7743
_cell_angle_alpha 90.00
_cell_angle_beta 90.00
_cell_angle_gamma 120.00
_space_group_name_H-M_alt 'P -3 m 1'
_space_group_IT_number 164
_space_group_name_Hall '-P 3 2"'
loop_
_atom_site_label
_atom_site_type_symbol
_atom_site_fract_x
_atom_site_fract_y
_atom_site_fract_z
Ac1 Ac 0.0000 0.0000 0.0000
Ac2 Ac 0.3333 0.6667 0.6443
Si1 Si 0.0000 0.0000 0.5000
Pd1 Pd 0.1715 0.3431 0.3032
Au1 Au 0.3333 0.6667 0.0360
```

---

10.
Ge2HPb | PBE-GGA | relaxed

Properties
- Fermi-level density of states (states/eV/cell) = 5.27
- raw total energy (eV/atom) = -3.6545
- excess energy over the best structure of this formula in the dataset (eV per atom) = 0.000

Cell and atoms, written as CIF:
```
data_Ge2HPb
_chemical_formula_sum 'Ge8 H4 Pb4'
_cell_length_a 5.2530
_cell_length_b 5.2530
_cell_length_c 12.1433
_cell_angle_alpha 90.00
_cell_angle_beta 90.00
_cell_angle_gamma 90.00
_space_group_name_H-M_alt 'I -4 2 d'
_space_group_IT_number 122
_space_group_name_Hall 'I -4 2bw'
loop_
_atom_site_label
_atom_site_type_symbol
_atom_site_fract_x
_atom_site_fract_y
_atom_site_fract_z
Ge1 Ge 0.0663 0.2500 0.1250
H1 H 0.0000 0.0000 0.0000
Pb1 Pb 0.0000 0.0000 0.5000
```

---

11.
ScNbCd3 | PBE-GGA | relaxed

Properties
- Fermi-level density of states (states/eV/cell) = 9.00
- raw total energy (eV/atom) = -2.8767
- excess energy over the best structure of this formula in the dataset (eV per atom) = 0.000
- energy of formation (eV per formula unit) = 4.8

Cell and atoms, written as CIF:
```
data_ScNbCd3
_chemical_formula_sum 'Sc1 Nb1 Cd3'
_cell_length_a 5.2628
_cell_length_b 5.2628
_cell_length_c 5.2628
_cell_angle_alpha 90.00
_cell_angle_beta 90.00
_cell_angle_gamma 90.00
_space_group_name_H-M_alt 'P m -3 m'
_space_group_IT_number 221
_space_group_name_Hall '-P 4 2 3'
loop_
_atom_site_label
_atom_site_type_symbol
_atom_site_fract_x
_atom_site_fract_y
_atom_site_fract_z
Sc1 Sc 0.0000 0.0000 0.0000
Nb1 Nb 0.5000 0.5000 0.5000
Cd1 Cd 0.0000 0.5000 0.5000
```

---

12.
B3AuN | PBE-GGA | relaxed

Properties
- Fermi-level density of states (states/eV/cell) = 2.62
- energy relative to the elements, uncorrected (eV/atom) = 2.536
- raw total energy (eV/atom) = -3.7905
- excess energy over the best structure of this formula in the dataset (eV per atom) = 0.773

Cell and atoms, written as CIF:
```
data_B3AuN
_chemical_formula_sum 'B3 Au1 N1'
_cell_length_a 4.1263
_cell_length_b 4.1263
_cell_length_c 4.1263
_cell_angle_alpha 90.00
_cell_angle_beta 90.00
_cell_angle_gamma 90.00
_space_group_name_H-M_alt 'P m -3 m'
_space_group_IT_number 221
_space_group_name_Hall '-P 4 2 3'
loop_
_atom_site_label
_atom_site_type_symbol
_atom_site_fract_x
_atom_site_fract_y
_atom_site_fract_z
B1 B 0.0000 0.0000 0.5000
Au1 Au 0.0000 0.0000 0.0000
N1 N 0.5000 0.5000 0.5000
```

---

What did the tenth record say?
Ge2HPb | PBE-GGA | relaxed

Properties
- Fermi-level density of states (states/eV/cell) = 5.27
- raw total energy (eV/atom) = -3.6545
- excess energy over the best structure of this formula in the dataset (eV per atom) = 0.000

Cell and atoms, written as CIF:
```
data_Ge2HPb
_chemical_formula_sum 'Ge8 H4 Pb4'
_cell_length_a 5.2530
_cell_length_b 5.2530
_cell_length_c 12.1433
_cell_angle_alpha 90.00
_cell_angle_beta 90.00
_cell_angle_gamma 90.00
_space_group_name_H-M_alt 'I -4 2 d'
_space_group_IT_number 122
_space_group_name_Hall 'I -4 2bw'
loop_
_atom_site_label
_atom_site_type_symbol
_atom_site_fract_x
_atom_site_fract_y
_atom_site_fract_z
Ge1 Ge 0.0663 0.2500 0.1250
H1 H 0.0000 0.0000 0.0000
Pb1 Pb 0.0000 0.0000 0.5000
```

---

Number 11 is which compound?
ScNbCd3